# 1
Entry from OQMD via LeMat-Bulk: a relaxed K2NiPtCl6 crystal (PBE).

Lattice parameters (Å, degrees): 9.6915 9.6915 9.6915 90.00 90.00 90.00
Last column: nearest neighbours and their distance in Å.
Space group Fm-3m (No. 225)
Unique sites:
K 0.2500 0.2500 0.2500 [8 per cell]  12 Cl 3.43
Ni 0.0000 0.0000 0.0000 [4 per cell]  6 Cl 2.38
Pt 0.0000 0.0000 0.5000 [4 per cell]  6 Cl 2.46
Cl 0.0000 0.0000 0.2457 [24 per cell]  1 Ni 2.38, 1 Pt 2.46

Calculated values
For the calculated total energy, the calculation gives -3.49 eV per atom.



# 2
Entry from OQMD via LeMat-Bulk: a relaxed KRb2TaCl6 crystal (PBE).

Lattice parameters (Å, degrees): 10.7884 10.7884 10.7884 90.00 90.00 90.00
Last column: nearest neighbours and their distance in Å.
Space group Fm-3m (No. 225)
Unique sites:
K 0.0000 0.0000 0.0000 [4 per cell]  6 Cl 2.92
Rb 0.2500 0.2500 0.2500 [8 per cell]  12 Cl 3.82
Ta 0.0000 0.0000 0.5000 [4 per cell]  6 Cl 2.47
Cl 0.0000 0.0000 0.2710 [24 per cell]  1 Ta 2.47

Calculated values
For the calculated total energy, the calculation gives -4.16 eV per atom.



# 3
Entry from OQMD via LeMat-Bulk: a relaxed PrAl2Hg crystal (PBE).

Lattice parameters (Å, degrees): 4.7589 11.5719 6.6401 90.00 90.00 90.00
Last column: nearest neighbours and their distance in Å.
Space group Ama2 (No. 40)
Unique sites:
Pr 0.2500 0.1668 0.0000 [4 per cell]  4 Hg 3.17-3.44, 8 Al 3.21-3.43
Al 0.2500 0.1434 0.4856 [4 per cell]  3 Al 2.83-2.88, 3 Hg 2.93-3.05
Al 0.2500 0.4297 0.7773 [4 per cell]  5 Al 2.83-2.88, 1 Hg 2.94
Hg 0.2500 0.4163 0.2201 [4 per cell]  4 Al 2.93-3.05, 2 Hg 3.07, 3 Pr 3.17-3.24

Calculated values
For the calculated total energy, the calculation gives -3.49 eV per atom.



# 4
Entry from OQMD via LeMat-Bulk: a relaxed YBeTlPt crystal (PBE).

Lattice parameters (Å, degrees): 6.7788 6.7788 6.7788 90.00 90.00 90.00
Last column: nearest neighbours and their distance in Å.
Space group F-43m (No. 216)
Unique sites:
Y 0.0000 0.0000 0.0000 [4 per cell]  4 Tl 2.94, 4 Pt 2.94
Be 0.0000 0.0000 0.5000 [4 per cell]  4 Tl 2.94, 4 Pt 2.94
Tl 0.2500 0.2500 0.7500 [4 per cell]  4 Be 2.94, 4 Y 2.94
Pt 0.2500 0.2500 0.2500 [4 per cell]  4 Be 2.94, 4 Y 2.94

Calculated values
For the calculated total energy, the calculation gives -4.85 eV per atom.



# 5
Entry from OQMD via LeMat-Bulk: a relaxed ZrTeO4 crystal (PBE).

Lattice parameters (Å, degrees): 3.8181 6.1786 6.5914 71.70 73.47 89.87
Last column: nearest neighbours and their distance in Å.
Space group P1 (No. 1)
Unique sites:
Zr 0.0000 0.0000 0.0000 [1 per cell]  5 O 2.11-2.23
Zr 0.2371 0.6623 0.5144 [1 per cell]  5 O 2.11-2.22
Te 0.4859 0.4668 0.0173 [1 per cell]  5 O 2.04-2.14
Te 0.7511 0.1954 0.4971 [1 per cell]  5 O 2.04-2.13
O 0.1180 0.3320 0.7589 [1 per cell]  2 Zr 2.12
O 0.1188 0.8314 0.7574 [1 per cell]  2 Zr 2.12
O 0.3135 0.2836 0.3692 [1 per cell]  3 Te 2.07-2.14
O 0.4208 0.7309 0.1463 [1 per cell]  1 Te 2.05, 1 Zr 2.22
O 0.4834 0.1329 0.0313 [1 per cell]  1 Te 2.04, 2 Zr 2.11-2.12
O 0.7529 0.5288 0.4858 [1 per cell]  1 Te 2.04, 2 Zr 2.11
O 0.8176 0.9310 0.3688 [1 per cell]  1 Te 2.05, 1 Zr 2.23
O 0.9229 0.3800 0.1471 [1 per cell]  3 Te 2.08-2.13

Calculated values
For the calculated total energy, the calculation gives -7.23 eV per atom.



# 6
Entry from OQMD via LeMat-Bulk: a relaxed DyTm3C2S2 crystal (PBE).

Lattice parameters (Å, degrees): 3.6593 3.6593 12.7314 90.00 90.00 120.00
Last column: nearest neighbours and their distance in Å.
Space group P3m1 (No. 156)
Unique sites:
Dy 0.0000 0.0000 0.0000 [1 per cell]  3 C 2.50
Tm 0.0000 0.0000 0.2934 [1 per cell]  3 C 2.49
Tm 0.6667 0.3333 0.4993 [1 per cell]  3 C 2.48
Tm 0.6667 0.3333 0.7913 [1 per cell]  3 C 2.49
C 0.3333 0.6667 0.3966 [1 per cell]  6 Tm 2.48-2.49
C 0.3333 0.6667 0.8945 [1 per cell]  3 Tm 2.49, 3 Dy 2.50
S 0.0000 0.0000 0.6461 [1 per cell]  6 Tm 2.81-2.82
S 0.6667 0.3333 0.1485 [1 per cell]  3 Tm 2.80, 3 Dy 2.84

Calculated values
For the calculated total energy, the calculation gives -6.88 eV per atom.



# 7
Entry from OQMD via LeMat-Bulk: a relaxed Er2Si crystal (PBE).

Lattice parameters (Å, degrees): 7.7526 7.7526 4.1767 90.00 90.00 120.00
Last column: nearest neighbours and their distance in Å.
Space group P-62m (No. 189)
Unique sites:
Er 0.0000 0.2651 0.0000 [3 per cell]  4 Si 2.89-2.93
Er 0.0000 0.5974 0.5000 [3 per cell]  5 Si 3.12-3.15, 6 Er 3.32-3.45
Si 0.0000 0.0000 0.5000 [1 per cell]  9 Er 2.93-3.12
Si 0.3333 0.6667 0.0000 [2 per cell]  9 Er 2.89-3.15

Calculated values
For the calculated total energy, the calculation gives -5.39 eV per atom.



# 8
Entry from OQMD via LeMat-Bulk: a relaxed IrOsNO crystal (PBE).

Lattice parameters (Å, degrees): 2.7706 6.0030 5.6491 90.00 90.00 90.00
Last column: nearest neighbours and their distance in Å.
Space group Pmc2_1 (No. 26)
Unique sites:
Ir 0.0000 0.2251 0.0000 [2 per cell]  2 N 2.02, 2 O 2.15-2.25
Os 0.5000 0.3771 0.4236 [2 per cell]  2 N 1.94-1.99, 2 O 2.06
N 0.5000 0.3273 0.7623 [2 per cell]  2 Os 1.94-1.99, 2 Ir 2.02
O 0.0000 0.1285 0.3669 [2 per cell]  2 Os 2.06, 2 Ir 2.15-2.25

Calculated values
For the calculated total energy, the calculation gives -8.13 eV per atom.



# 9
Entry from OQMD via LeMat-Bulk: a relaxed PmSbTe crystal (PBE).

Lattice parameters (Å, degrees): 7.3708 7.3708 7.3708 90.00 90.00 90.00
Last column: nearest neighbours and their distance in Å.
Space group F-43m (No. 216)
Unique sites:
Pm 0.0000 0.0000 0.0000 [4 per cell]  4 Te 3.19
Sb 0.0000 0.0000 0.5000 [4 per cell]  4 Te 3.19
Te 0.2500 0.2500 0.2500 [4 per cell]  4 Sb 3.19, 4 Pm 3.19

Calculated values
For the calculated total energy, the calculation gives -4.44 eV per atom.



# 10
Entry from OQMD via LeMat-Bulk: a relaxed Co5W crystal (PBE).

Lattice parameters (Å, degrees): 4.5874 4.5874 15.1202 90.00 90.00 120.00
Last column: nearest neighbours and their distance in Å.
Space group P6_3/mmc (No. 194)
Unique sites:
Co 0.0000 0.0000 0.0880 [4 per cell]  13 Co 2.65-2.77, 3 W 2.83
Co 0.0000 0.5000 0.0000 [6 per cell]  6 Co 2.29-2.33
Co 0.1620 0.3239 0.2500 [6 per cell]  6 Co 2.23-2.36
Co 0.3333 0.6667 0.1268 [4 per cell]  6 Co 2.31-2.33
W 0.3333 0.6667 0.6539 [4 per cell]  15 Co 2.68-2.83, 1 W 2.91

Calculated values
As for the energy relative to the elements: 165 meV/atom.



# 11
Entry from OQMD via LeMat-Bulk: a relaxed MgCd2F2 crystal (PBE).

Lattice parameters (Å, degrees): 3.1403 3.1403 17.3112 90.00 90.00 120.00
Last column: nearest neighbours and their distance in Å.
Space group P6_3/mmc (No. 194)
Unique sites:
Mg 0.0000 0.0000 0.2500 [2 per cell]  6 F 2.13
Cd 0.3333 0.6667 0.0642 [4 per cell]  3 F 2.78, 3 Cd 2.87
F 0.3333 0.6667 0.6858 [4 per cell]  3 Mg 2.13, 1 F 2.22

Calculated values
For the calculated total energy, the calculation gives -2.97 eV per atom.



# 12
Entry from OQMD via LeMat-Bulk: a relaxed LaGdAl2I2 crystal (PBE).

Lattice parameters (Å, degrees): 4.3709 4.3709 12.3814 90.00 90.00 120.00
Last column: nearest neighbours and their distance in Å.
Space group P3m1 (No. 156)
Unique sites:
La 0.0000 0.0000 0.0000 [1 per cell]  6 Al 3.23-3.46, 3 I 3.28
Gd 0.0000 0.0000 0.3443 [1 per cell]  6 Al 3.16-3.38, 3 I 3.18
Al 0.3333 0.6667 0.1910 [1 per cell]  3 Al 2.55
Al 0.6667 0.3333 0.1629 [1 per cell]  3 Al 2.55
I 0.3333 0.6667 0.8302 [1 per cell]  3 La 3.28
I 0.6667 0.3333 0.5010 [1 per cell]  3 Gd 3.18

Calculated values
For the calculated total energy, the calculation gives -4.31 eV per atom.